[1]
{
  "formula": "Nd6Er2TmTh",
  "functional": "PBE",
  "state": "relaxed",
  "lattice_angstrom": [[4.7022, -7.5255, 0.0000], [4.7022, 7.5255, 0.0000], [-1.2054, 0.0000, 9.5736]],
  "species": ["Nd", "Nd", "Nd", "Nd", "Nd", "Nd", "Nd", "Nd", "Nd", "Nd", "Nd", "Nd", "Er", "Er", "Er", "Er", "Tm", "Tm", "Th", "Th"],
  "frac_coords": [[0.0059, 0.5721, 0.1890], [0.1108, 0.7632, 0.5582], [0.2368, 0.8892, 0.9418], [0.2970, 0.5155, 0.3829], [0.4279, 0.9941, 0.3110], [0.4845, 0.7030, 0.1171], [0.5155, 0.2970, 0.8829], [0.5721, 0.0059, 0.6890], [0.7030, 0.4845, 0.6171], [0.7632, 0.1108, 0.0582], [0.8892, 0.2368, 0.4418], [0.9941, 0.4279, 0.8110], [0.2023, 0.2935, 0.0521], [0.2935, 0.2023, 0.5521], [0.7065, 0.7977, 0.4479], [0.7977, 0.7065, 0.9479], [0.4101, 0.5899, 0.7500], [0.5899, 0.4101, 0.2500], [0.0309, 0.9691, 0.2500], [0.9691, 0.0309, 0.7500]]
}

[2]
{
  "formula": "NdEr3TmTh",
  "functional": "PBE",
  "state": "relaxed",
  "lattice_angstrom": [[7.9243, 0.0000, 0.0000], [0.0000, 5.0375, 0.0000], [-3.2541, 0.0000, 9.5123]],
  "species": ["Nd", "Nd", "Er", "Er", "Er", "Er", "Er", "Er", "Tm", "Tm", "Th", "Th"],
  "frac_coords": [[0.1679, 0.2500, 0.2923], [0.8321, 0.7500, 0.7077], [0.1692, 0.7500, 0.5432], [0.1738, 0.7500, 0.0429], [0.1750, 0.2500, 0.7925], [0.8250, 0.7500, 0.2075], [0.8262, 0.2500, 0.9571], [0.8308, 0.2500, 0.4568], [0.4990, 0.2500, 0.6276], [0.5010, 0.7500, 0.3724], [0.4978, 0.7500, 0.8781], [0.5022, 0.2500, 0.1219]]
}

[3]
{
  "formula": "NdErTm3Th",
  "functional": "PBE",
  "state": "relaxed",
  "lattice_angstrom": [[10.5715, 0.0000, 0.0000], [0.0000, 3.5475, 0.0000], [-3.4684, 0.0000, 10.0265]],
  "species": ["Nd", "Nd", "Er", "Er", "Tm", "Tm", "Tm", "Tm", "Tm", "Tm", "Th", "Th"],
  "frac_coords": [[0.2084, 0.2500, 0.3736], [0.7916, 0.7500, 0.6264], [0.1258, 0.7500, 0.6290], [0.8742, 0.2500, 0.3710], [0.0434, 0.2500, 0.8760], [0.2936, 0.7500, 0.1196], [0.4594, 0.7500, 0.6293], [0.5406, 0.2500, 0.3707], [0.7064, 0.2500, 0.8804], [0.9566, 0.7500, 0.1240], [0.3762, 0.2500, 0.8743], [0.6238, 0.7500, 0.1257]]
}

[4]
{
  "formula": "Nd2Er2TmTh2",
  "functional": "PBE",
  "state": "relaxed",
  "lattice_angstrom": [[7.9842, -1.7641, 0.0000], [7.9842, 1.7641, 0.0000], [-1.1722, 0.0000, 8.6826]],
  "species": ["Nd", "Nd", "Er", "Er", "Tm", "Th", "Th"],
  "frac_coords": [[0.1662, 0.1662, 0.4532], [0.8338, 0.8338, 0.5468], [0.2946, 0.2946, 0.1699], [0.7054, 0.7054, 0.8301], [0.5000, 0.5000, 0.5000], [0.4124, 0.4124, 0.8651], [0.5876, 0.5876, 0.1349]]
}

[5]
{
  "formula": "Nd2YEr2Th2",
  "functional": "PBE",
  "state": "relaxed",
  "lattice_angstrom": [[5.8179, -1.7190, 0.0000], [5.8179, 1.7190, 0.0000], [-2.6339, 0.0000, 11.6744]],
  "species": ["Nd", "Nd", "Y", "Er", "Er", "Th", "Th"],
  "frac_coords": [[0.2052, 0.2052, 0.3608], [0.7948, 0.7948, 0.6392], [0.5000, 0.5000, 0.5000], [0.1531, 0.1531, 0.0683], [0.8469, 0.8469, 0.9317], [0.0944, 0.0944, 0.7791], [0.9056, 0.9056, 0.2209]]
}

[6]
{
  "formula": "NdY6Er2Th3",
  "functional": "PBE",
  "state": "relaxed",
  "lattice_angstrom": [[3.1006, -5.3707, 0.0000], [3.1006, 5.3707, 0.0000], [-2.0716, 0.0000, 11.5938]],
  "species": ["Nd", "Y", "Y", "Y", "Y", "Y", "Y", "Er", "Er", "Th", "Th", "Th"],
  "frac_coords": [[0.0000, 0.0000, 0.0000], [0.0849, 0.4188, 0.2542], [0.2491, 0.2491, 0.7458], [0.4188, 0.0849, 0.2542], [0.5812, 0.9151, 0.7458], [0.7509, 0.7509, 0.2542], [0.9151, 0.5812, 0.7458], [0.3332, 0.6668, 0.0000], [0.6668, 0.3332, 0.0000], [0.1663, 0.8337, 0.5000], [0.5000, 0.5000, 0.5000], [0.8337, 0.1663, 0.5000]]
}

[7]
{
  "formula": "Nd6Y3Er2Th",
  "functional": "PBE",
  "state": "relaxed",
  "lattice_angstrom": [[3.1361, -5.4292, 0.0000], [3.1361, 5.4292, 0.0000], [-2.0969, 0.0000, 11.7748]],
  "species": ["Nd", "Nd", "Nd", "Nd", "Nd", "Nd", "Y", "Y", "Y", "Er", "Er", "Th"],
  "frac_coords": [[0.0831, 0.4132, 0.7481], [0.2469, 0.2469, 0.2523], [0.4132, 0.0831, 0.7481], [0.5868, 0.9169, 0.2519], [0.7531, 0.7531, 0.7477], [0.9169, 0.5868, 0.2519], [0.1669, 0.8331, 0.0000], [0.5000, 0.5000, 0.0000], [0.8331, 0.1669, 0.0000], [0.3334, 0.6666, 0.5000], [0.6666, 0.3334, 0.5000], [0.0000, 0.0000, 0.5000]]
}

[8]
{
  "formula": "Nd2Y3Er6Th",
  "functional": "PBE",
  "state": "relaxed",
  "lattice_angstrom": [[3.0909, -5.3484, 0.0000], [3.0909, 5.3484, 0.0000], [-2.0580, 0.0000, 11.5737]],
  "species": ["Nd", "Nd", "Y", "Y", "Y", "Er", "Er", "Er", "Er", "Er", "Er", "Th"],
  "frac_coords": [[0.1665, 0.8335, 0.0000], [0.8335, 0.1665, 0.0000], [0.0000, 0.0000, 0.5000], [0.3329, 0.6671, 0.5000], [0.6671, 0.3329, 0.5000], [0.0866, 0.4160, 0.7498], [0.2547, 0.2547, 0.2503], [0.4160, 0.0866, 0.7498], [0.5840, 0.9134, 0.2502], [0.7453, 0.7453, 0.7497], [0.9134, 0.5840, 0.2502], [0.5000, 0.5000, 0.0000]]
}

no.,energy of formation from the pure elements (eV/f.u.),final energy (eV/cell)
1,1.43,-96.4
2,0.17,-60.4
3,0.14,-60.1
4,2.82,-35.2
5,1.34,-38.6
6,0.30,-74.6
7,0.36,-64.2
8,0.40,-63.3